1.
10
Lattice="3.577 0.000 -0.479 0.000 5.119 0.000 -0.024 0.000 13.416" Properties=species:S:1:pos:R:3 comment="DyEr2Al2, optimized geometry, DFT PBE-GGA" e_above_lowest_polymorph_ev_per_atom=0.0000 magnetic_moment_mub_per_fu=0.0 final_energy_ha_per_atom=-0.168 e_form_ev_per_atom=-0.318 space_group="P2_1/m, No. 11" pbc="T T T"
Al 1.269 1.280 9.468
Dy 3.041 3.839 9.095
Dy 0.511 1.280 3.842
Er 3.388 1.280 11.702
Er 0.823 3.839 6.161
Al 2.283 3.839 3.469
Er 0.165 3.839 1.235
Al 1.590 3.839 11.879
Al 1.962 1.280 1.057
Er 2.729 1.280 6.776

=====

2.
8
Lattice="-0.798 1.492 4.289 2.585 -1.537 3.494 6.683 7.140 1.238" Properties=species:S:1:pos:R:3 comment="Li2PmPrAu4, optimized geometry, DFT PBE-GGA" magnetic_moment_mub_per_fu=0.0 final_energy_ha_per_atom=-0.147 e_form_ev_per_atom=-0.700 space_group="R-3m, No. 166" pbc="T T T"
Au 2.264 1.230 4.950
Au 4.668 4.771 1.687
Li 2.142 1.803 2.250
Au 3.803 2.323 7.334
Pm 4.235 3.547 4.510
Au 6.207 5.864 4.071
Li 6.328 5.291 6.771
Pr 0.000 0.000 0.000